(1)
DFT (PBE-GGA) results for crystalline Ac6In5 at its relaxed geometry.

E_tot   -3.8331 eV per atom
ΔE_f   -0.347 eV/atom
SG   Immm, No. 71
Magnetic moment   0.0 μB per formula unit
ρ   7.917 g/cm3

Lattice parameters (Å, degrees): 9.9687 9.9687 9.9687 146.32 131.74 60.14
With the nearest neighbours (Å) after each atom.
Sites, in units of the cell vectors:
Ac1 0.0817 0.3354 0.7463  7 In 3.51-3.58
Ac2 0.2456 0.0000 0.2456  6 In 3.50-3.56
Ac3 0.4108 0.6646 0.7463  7 In 3.51-3.58
Ac4 0.5892 0.3354 0.2537  7 In 3.51-3.58
Ac5 0.7544 0.0000 0.7544  6 In 3.50-3.56
Ac6 0.9183 0.6646 0.2537  7 In 3.51-3.58
In1 0.1665 0.1665 0.0000  8 Ac 3.50-3.57
In2 0.3363 0.8363 0.5000  8 Ac 3.50-3.58
In3 0.5000 0.5000 0.0000  8 Ac 3.51-3.56
In4 0.6637 0.1637 0.5000  8 Ac 3.50-3.58
In5 0.8335 0.8335 0.0000  8 Ac 3.50-3.57

(2)
DFT (PBE-GGA) results for crystalline NbV2GeRu at its relaxed geometry.

E_tot   -6.9744 eV per atom
ΔE_f   1.466 eV/atom
SG   P4/mmm, No. 123
Magnetic moment   0.0 μB per formula unit
ρ   6.147 g/cm3

Lattice parameters (Å, degrees): 4.6103 4.6103 4.6834 90.00 90.00 90.00
With the nearest neighbours (Å) after each atom.
Sites, in units of the cell vectors:
Nb1 0.0000 0.0000 0.0000  4 V 2.31, 2 Ru 2.34
V1 0.0000 0.5000 0.0000  2 Nb 2.31
V2 0.5000 0.0000 0.0000  2 Nb 2.31
Ge1 0.5000 0.5000 0.5000  4 Ru 3.26, 8 V 3.29
Ru1 0.0000 0.0000 0.5000  2 Nb 2.34

(3)
DFT (PBE-GGA) results for crystalline AcPm2ErTm4 at its relaxed geometry.

E_tot   -4.0640 eV per atom
ΔE_f   0.443 eV/atom
SG   Imma, No. 74
Magnetic moment   0.4 μB per formula unit
ρ   8.267 g/cm3

Lattice parameters (Å, degrees): 9.5889 9.5889 9.5889 138.04 103.51 91.30
With the nearest neighbours (Å) after each atom.
Sites, in units of the cell vectors:
Ac1 0.0000 0.0000 0.0000  2 Pm 3.43, 6 Tm 3.46-3.47
Ac2 0.5000 0.0000 0.5000  2 Pm 3.43, 6 Tm 3.46-3.47
Pm1 0.0000 0.5000 0.5000  6 Tm 3.24-3.39, 2 Ac 3.43
Pm2 0.5000 0.0000 0.0000  6 Tm 3.42-3.48, 2 Pm 3.43
Pm3 0.5000 0.5000 0.0000  6 Tm 3.24-3.39, 2 Ac 3.43
Pm4 0.5000 0.5000 0.5000  6 Tm 3.42-3.48, 2 Pm 3.43
Er1 0.0000 0.0000 0.5000  6 Tm 3.29-3.38, 2 Er 3.43
Er2 0.0000 0.5000 0.0000  6 Tm 3.29-3.38, 2 Er 3.43
Tm1 0.2370 0.7418 0.4952  3 Pm 3.24-3.48, 2 Er 3.38, 2 Tm 3.44, 1 Ac 3.46
Tm2 0.2452 0.2579 0.5127  2 Tm 3.26-3.61, 1 Er 3.29, 3 Pm 3.39-3.42, 2 Ac 3.47
Tm3 0.2452 0.7326 0.9873  2 Tm 3.26-3.61, 1 Er 3.29, 3 Pm 3.39-3.42, 2 Ac 3.47
Tm4 0.2534 0.2582 0.9952  3 Pm 3.24-3.48, 2 Er 3.38, 2 Tm 3.44, 1 Ac 3.46
Tm5 0.7466 0.7418 0.0048  3 Pm 3.24-3.48, 2 Er 3.38, 2 Tm 3.44, 1 Ac 3.46
Tm6 0.7548 0.2674 0.0127  2 Tm 3.26-3.61, 1 Er 3.29, 3 Pm 3.39-3.42, 2 Ac 3.47
Tm7 0.7548 0.7421 0.4873  2 Tm 3.26-3.61, 1 Er 3.29, 3 Pm 3.39-3.42, 2 Ac 3.47
Tm8 0.7630 0.2582 0.5048  3 Pm 3.24-3.48, 2 Er 3.38, 2 Tm 3.44, 1 Ac 3.46

(4)
DFT (PBE-GGA) results for crystalline Ga6Au5 at its relaxed geometry.

E_tot   -3.3063 eV per atom
ΔE_f   -0.166 eV/atom
SG   C2/m, No. 12
Magnetic moment   0.0 μB per formula unit
ρ   11.088 g/cm3

Lattice parameters (Å, degrees): 9.1418 9.1418 6.6170 109.77 109.77 23.89
With the nearest neighbours (Å) after each atom.
Sites, in units of the cell vectors:
Ga1 0.0013 0.0013 0.2225  4 Au 2.62-2.68, 1 Ga 2.93
Ga2 0.3485 0.3485 0.5586  6 Au 2.74-2.87, 1 Ga 2.75
Ga3 0.3595 0.3595 0.1539  6 Au 2.69-2.88, 1 Ga 2.75
Ga4 0.6405 0.6405 0.8461  6 Au 2.69-2.88, 1 Ga 2.75
Ga5 0.6515 0.6515 0.4414  6 Au 2.74-2.87, 1 Ga 2.75
Ga6 0.9987 0.9987 0.7775  4 Au 2.62-2.68, 1 Ga 2.93
Au1 0.1318 0.1318 0.1269  6 Ga 2.62-2.74
Au2 0.2315 0.2315 0.7437  6 Ga 2.73-2.88, 2 Au 2.97
Au3 0.5000 0.5000 0.5000  8 Ga 2.64-2.87
Au4 0.7685 0.7685 0.2563  6 Ga 2.73-2.88, 2 Au 2.97
Au5 0.8682 0.8682 0.8731  6 Ga 2.62-2.74

(5)
DFT (PBE-GGA) results for crystalline Cr2GeSe at its relaxed geometry.

E_tot   -6.5951 eV per atom
Offset from the most stable computed form   0.000 eV per formula unit
SG   Fm-3m, No. 225
Magnetic moment   2.5 μB per formula unit
ρ   7.632 g/cm3
Formation energy without anion corrections   242 meV/atom

Lattice parameters (Å, degrees): 4.2844 4.2844 4.2844 60.00 60.00 60.00
With the nearest neighbours (Å) after each atom.
Sites, in units of the cell vectors:
Cr1 0.2500 0.2500 0.2500  4 Se 2.62, 4 Ge 2.62
Cr2 0.7500 0.7500 0.7500  4 Se 2.62, 4 Ge 2.62
Ge1 0.0000 0.0000 0.0000  8 Cr 2.62
Se1 0.5000 0.5000 0.5000  8 Cr 2.62

(6)
DFT (PBE-GGA) results for crystalline Pr12SnPt6 at its relaxed geometry.

E_tot   -5.9060 eV per atom
ΔE_f   -0.769 eV/atom
SG   Im-3, No. 204
Magnetic moment   0.0 μB per formula unit
ρ   8.705 g/cm3

Lattice parameters (Å, degrees): 9.0390 9.0390 9.0390 109.47 109.47 109.47
With the nearest neighbours (Å) after each atom.
Sites, in units of the cell vectors:
Pr1 0.1238 0.3039 0.8199  3 Pt 2.82-3.11
Pr2 0.1801 0.4840 0.3039  3 Pt 2.82-3.11
Pr3 0.1801 0.8762 0.6961  3 Pt 2.82-3.11
Pr4 0.3039 0.1801 0.4840  3 Pt 2.82-3.11
Pr5 0.3039 0.8199 0.1238  3 Pt 2.82-3.11
Pr6 0.4840 0.3039 0.1801  3 Pt 2.82-3.11
Pr7 0.5160 0.6961 0.8199  3 Pt 2.82-3.11
Pr8 0.6961 0.1801 0.8762  3 Pt 2.82-3.11
Pr9 0.6961 0.8199 0.5160  3 Pt 2.82-3.11
Pr10 0.8199 0.1238 0.3039  3 Pt 2.82-3.11
Pr11 0.8199 0.5160 0.6961  3 Pt 2.82-3.11
Pr12 0.8762 0.6961 0.1801  3 Pt 2.82-3.11
Sn1 0.0000 0.0000 0.0000  12 Pr 3.69
Pt1 0.1345 0.5000 0.6345  1 Pt 2.81, 6 Pr 2.82-3.11
Pt2 0.3655 0.8655 0.5000  1 Pt 2.81, 6 Pr 2.82-3.11
Pt3 0.5000 0.3655 0.8655  1 Pt 2.81, 6 Pr 2.82-3.11
Pt4 0.5000 0.6345 0.1345  1 Pt 2.81, 6 Pr 2.82-3.11
Pt5 0.6345 0.1345 0.5000  1 Pt 2.81, 6 Pr 2.82-3.11
Pt6 0.8655 0.5000 0.3655  1 Pt 2.81, 6 Pr 2.82-3.11